# 1
Computed, not measured: a geometry-optimized Pr4NdRh2 structure at the PBE level of DFT.

The formation energy comes out at -0.3368 eV per atom. Its total energy is -5.85 eV per atom.

a b c (Å): 8.1229 6.6824 8.1783
angles (deg): 90.00 113.97 90.00
Positions (direct):
Pr  0.0157  0.2500  0.3812
Pr  0.2555  0.7500  0.3408
Pr  0.4117  0.0054  0.7682
Pr  0.4117  0.4946  0.7682
Pr  0.5883  0.5054  0.2318
Pr  0.5883  0.9946  0.2318
Pr  0.7445  0.2500  0.6592
Pr  0.9843  0.7500  0.6188
Nd  0.1521  0.2500  0.0283
Nd  0.8479  0.7500  0.9717
Rh  0.2334  0.7500  0.9899
Rh  0.3670  0.2500  0.4024
Rh  0.6330  0.7500  0.5976
Rh  0.7666  0.2500  0.0101

---

# 2
Computed, not measured: a geometry-optimized Pr2Nd2Rh3 structure at the PBE level of DFT.

The formation energy comes out at -0.5367 eV per atom. The value obtained for the energy above the most stable polymorph in this dataset is 76.4 meV per atom. Its total energy is -6.42 eV per atom.

a b c (Å): 13.4985 4.2007 7.1293
angles (deg): 90.00 100.64 90.00
Positions (direct):
Pr  0.1252  0.0000  0.3858
Pr  0.3748  0.5000  0.6142
Pr  0.6252  0.5000  0.3858
Pr  0.8748  0.0000  0.6142
Nd  0.1353  0.5000  0.8614
Nd  0.3647  0.0000  0.1386
Nd  0.6353  0.0000  0.8614
Nd  0.8647  0.5000  0.1386
Rh  0.0000  0.5000  0.5000
Rh  0.2410  0.5000  0.2428
Rh  0.2590  0.0000  0.7572
Rh  0.5000  0.0000  0.5000
Rh  0.7410  0.0000  0.2428
Rh  0.7590  0.5000  0.7572

---

# 3
Computed, not measured: a geometry-optimized PrNdRh2 structure at the PBE level of DFT.

The formation energy comes out at -0.6680 eV per atom. Its total energy is -6.73 eV per atom.

a b c (Å): 4.2711 3.9575 11.0373
angles (deg): 90.00 90.00 90.00
Positions (direct):
Pr  0.0000  0.0000  0.0000
Pr  0.0000  0.5000  0.5000
Nd  0.5000  0.0000  0.7177
Nd  0.5000  0.5000  0.2177
Rh  0.0000  0.0000  0.2732
Rh  0.0000  0.5000  0.7732
Rh  0.5000  0.0000  0.4428
Rh  0.5000  0.5000  0.9428